No. 1
Entry from Alexandria via LeMat-Bulk: CoTeO3 at its PBEsol-relaxed geometry (meta-GGA SCAN).

POSCAR file:
```
CoTeO3
1.0
6.022 0.000 0.000
0.000 7.142 0.000
0.000 0.000 5.207
Co Te O
4 4 12
Direct
0.000 0.000 0.000
0.000 0.500 0.000
0.500 0.000 0.500
0.500 0.500 0.500
0.033 0.250 0.480
0.467 0.750 0.980
0.533 0.250 0.020
0.967 0.750 0.520
0.039 0.750 0.148
0.180 0.556 0.637
0.180 0.944 0.637
0.320 0.056 0.137
0.320 0.444 0.137
0.461 0.250 0.648
0.539 0.750 0.352
0.680 0.556 0.863
0.680 0.944 0.863
0.820 0.056 0.363
0.820 0.444 0.363
0.961 0.250 0.852
```

Space-group type ... Pnma
Formation energy (no corrections) ... -1.10 eV per atom

***

No. 2
Entry from Alexandria via LeMat-Bulk: HgGeF2 at its PBEsol-relaxed geometry (meta-GGA SCAN).

POSCAR file:
```
HgGeF2
1.0
1.749 1.010 8.491
-1.749 1.010 8.491
0.000 -2.019 8.491
Hg Ge F
1 1 2
Direct
0.000 0.000 0.000
0.500 0.500 0.500
0.127 0.127 0.127
0.873 0.873 0.873
```

Space-group type ... R-3m
Formation energy (no corrections) ... -1.29 eV per atom

***

No. 3
Entry from Alexandria via LeMat-Bulk: YAs2PtBr at its PBEsol-relaxed geometry (meta-GGA SCAN).

POSCAR file:
```
YAs2PtBr
1.0
4.861 0.000 0.000
0.000 4.861 0.000
0.000 0.000 5.016
Y As Pt Br
1 2 1 1
Direct
0.000 0.000 0.000
0.000 0.500 0.500
0.500 0.000 0.500
0.500 0.500 0.500
0.500 0.500 0.000
```

Space-group type ... P4/mmm
Formation energy (no corrections) ... -0.21 eV per atom
Density of states at the Fermi level ... 2.5 states/eV/cell

***

No. 4
Entry from Alexandria via LeMat-Bulk: ReSO2 at its PBEsol-relaxed geometry (meta-GGA SCAN).

POSCAR file:
```
ReSO2
1.0
1.394 0.805 6.709
-1.394 0.805 6.709
0.000 -1.610 6.709
Re S O
1 1 2
Direct
0.000 0.000 0.000
0.500 0.500 0.500
0.400 0.400 0.400
0.600 0.600 0.600
```

Space-group type ... R-3m
Formation energy (no corrections) ... -0.32 eV per atom
Density of states at the Fermi level ... 1.5 states/eV/cell

***

No. 5
Entry from Alexandria via LeMat-Bulk: BaZr4Pt at its PBEsol-relaxed geometry (meta-GGA SCAN).

POSCAR file:
```
BaZr4Pt
1.0
0.000 4.090 4.090
4.090 0.000 4.090
4.090 4.090 0.000
Ba Zr Pt
1 4 1
Direct
0.000 0.000 0.000
0.130 0.623 0.623
0.623 0.130 0.623
0.623 0.623 0.130
0.623 0.623 0.623
0.250 0.250 0.250
```

Space-group type ... F-43m
Density of states at the Fermi level ... 5.0 states/eV/cell
Energy of formation ... 2.70 eV/f.u.

***

No. 6
Entry from Alexandria via LeMat-Bulk: K3Ba at its PBEsol-relaxed geometry (meta-GGA SCAN).

POSCAR file:
```
K3Ba
1.0
4.483 0.000 0.000
-2.242 3.882 0.000
0.000 0.000 15.273
K Ba
3 1
Direct
0.000 0.000 0.000
0.333 0.667 0.254
0.333 0.667 0.746
0.000 0.000 0.500
```

Space-group type ... P-6m2
Density of states at the Fermi level ... 4.0 states/eV/cell
Energy of formation ... 0.20 eV/f.u.

***

No. 7
Entry from Alexandria via LeMat-Bulk: BaSr2Ca at its PBEsol-relaxed geometry (meta-GGA SCAN).

POSCAR file:
```
BaSr2Ca
1.0
4.005 0.000 0.000
0.000 6.546 0.000
-1.340 0.000 7.564
Ba Sr Ca
1 2 1
Direct
0.000 0.000 0.000
0.250 0.500 0.743
0.511 0.000 0.492
0.745 0.500 0.246
```

Space-group type ... Pm
E above lowest polymorph ... 5 meV per atom
Density of states at the Fermi level ... 4.1 states/eV/cell
Energy of formation ... 0.13 eV/f.u.

***

No. 8
Entry from Alexandria via LeMat-Bulk: LaTmTl2 at its PBEsol-relaxed geometry (meta-GGA SCAN).

POSCAR file:
```
LaTmTl2
1.0
0.000 3.802 3.802
3.802 0.000 3.802
3.802 3.802 0.000
La Tm Tl
1 1 2
Direct
0.000 0.000 0.000
0.500 0.500 0.500
0.250 0.250 0.250
0.750 0.750 0.750
```

Space-group type ... Fm-3m
Density of states at the Fermi level ... 2.8 states/eV/cell
Energy of formation ... -2.22 eV/f.u.

***

No. 9
Entry from Alexandria via LeMat-Bulk: Y2CoRu at its PBEsol-relaxed geometry (meta-GGA SCAN).

POSCAR file:
```
Y2CoRu
1.0
-1.628 2.211 5.305
1.628 -2.211 5.305
1.628 2.211 -5.305
Y Co Ru
2 1 1
Direct
0.000 0.000 0.000
0.719 0.219 0.500
0.268 0.768 0.500
0.441 0.441 0.000
```

Space-group type ... Imm2
Density of states at the Fermi level ... 2.6 states/eV/cell
Energy of formation ... -0.49 eV/f.u.

***

No. 10
Entry from Alexandria via LeMat-Bulk: RbHf2Fe at its PBEsol-relaxed geometry (meta-GGA SCAN).

POSCAR file:
```
RbHf2Fe
1.0
0.000 3.380 3.380
3.380 0.000 3.380
3.380 3.380 0.000
Rb Hf Fe
1 2 1
Direct
0.000 0.000 0.000
0.250 0.250 0.250
0.750 0.750 0.750
0.500 0.500 0.500
```

Space-group type ... Fm-3m
Density of states at the Fermi level ... 4.5 states/eV/cell
Energy of formation ... 5.17 eV/f.u.

***

No. 11
Entry from Alexandria via LeMat-Bulk: Tc2SbBr at its PBEsol-relaxed geometry (meta-GGA SCAN).

POSCAR file:
```
Tc2SbBr
1.0
-2.016 2.016 4.175
2.016 -2.016 4.175
2.016 2.016 -4.175
Tc Sb Br
2 1 1
Direct
0.000 0.000 0.000
0.750 0.250 0.500
0.250 0.750 0.500
0.500 0.500 0.000
```

Space-group type ... I-4m2
Formation energy (no corrections) ... 1.07 eV per atom
E above lowest polymorph ... 909 meV per atom
Density of states at the Fermi level ... 4.4 states/eV/cell

***

No. 12
Entry from Alexandria via LeMat-Bulk: Ca2LaRe at its PBEsol-relaxed geometry (meta-GGA SCAN).

POSCAR file:
```
Ca2LaRe
1.0
-2.272 2.272 4.839
2.272 -2.272 4.839
2.272 2.272 -4.839
Ca La Re
2 1 1
Direct
0.250 0.750 0.500
0.750 0.250 0.500
0.000 0.000 0.000
0.500 0.500 0.000
```

Space-group type ... I4/mmm
E above lowest polymorph ... 0 meV per atom
Density of states at the Fermi level ... 3.4 states/eV/cell
Energy of formation ... 2.67 eV/f.u.

***

No. 13
Entry from Alexandria via LeMat-Bulk: TcHg2Rh at its PBEsol-relaxed geometry (meta-GGA SCAN).

POSCAR file:
```
TcHg2Rh
1.0
4.595 -1.430 0.000
4.595 1.430 0.000
-0.877 0.000 5.038
Tc Hg Rh
1 2 1
Direct
0.000 0.000 0.000
0.249 0.249 0.748
0.751 0.751 0.252
0.500 0.500 0.500
```

Space-group type ... C2/m
E above lowest polymorph ... 0 meV per atom
Density of states at the Fermi level ... 2.8 states/eV/cell
Energy of formation ... 2.00 eV/f.u.

***

No. 14
Entry from Alexandria via LeMat-Bulk: Li2GePbS4 at its PBEsol-relaxed geometry (meta-GGA SCAN).

POSCAR file:
```
Li2GePbS4
1.0
-3.248 3.248 3.835
3.248 -3.248 3.835
3.248 3.248 -3.835
Li Ge Pb S
2 1 1 4
Direct
0.250 0.750 0.500
0.750 0.250 0.500
0.000 0.000 0.000
0.500 0.500 0.000
0.033 0.637 0.000
0.363 0.363 0.397
0.637 0.033 0.000
0.967 0.967 0.603
```

Space-group type ... I-42m
Formation energy (no corrections) ... -0.92 eV per atom
Density of states at the Fermi level ... 0.0 states/eV/cell

***

No. 15
Entry from Alexandria via LeMat-Bulk: CaCuRh2 at its PBEsol-relaxed geometry (meta-GGA SCAN).

POSCAR file:
```
CaCuRh2
1.0
3.153 0.000 0.000
0.000 3.153 0.000
0.000 0.000 6.553
Ca Cu Rh
1 1 2
Direct
0.000 0.000 0.000
0.500 0.500 0.305
0.000 0.000 0.487
0.500 0.500 0.701
```

Space-group type ... P4mm
E above lowest polymorph ... 0 meV per atom
Density of states at the Fermi level ... 4.0 states/eV/cell
Energy of formation ... 0.16 eV/f.u.

***

No. 16
Entry from Alexandria via LeMat-Bulk: K3Tl at its PBEsol-relaxed geometry (meta-GGA SCAN).

POSCAR file:
```
K3Tl
1.0
0.000 4.511 4.511
4.511 0.000 4.511
4.511 4.511 0.000
K Tl
3 1
Direct
0.000 0.000 0.000
0.250 0.250 0.250
0.750 0.750 0.750
0.500 0.500 0.500
```

Space-group type ... Fm-3m
Density of states at the Fermi level ... 5.4 states/eV/cell
Energy of formation ... -0.10 eV/f.u.

***

No. 17
Entry from Alexandria via LeMat-Bulk: Li3Ag2 at its PBEsol-relaxed geometry (meta-GGA SCAN).

POSCAR file:
```
Li3Ag2
1.0
3.158 0.000 0.000
0.000 3.158 0.000
0.000 0.000 15.673
Li Ag
6 4
Direct
0.000 0.000 0.000
0.000 0.000 0.193
0.000 0.000 0.384
0.000 0.000 0.616
0.000 0.000 0.807
0.500 0.500 0.500
0.500 0.500 0.096
0.500 0.500 0.289
0.500 0.500 0.711
0.500 0.500 0.904
```

Space-group type ... P4/mmm
E above lowest polymorph ... 0 meV per atom
Density of states at the Fermi level ... 3.0 states/eV/cell
Energy of formation ... -0.79 eV/f.u.

***

No. 18
Entry from Alexandria via LeMat-Bulk: La2Al2Os at its PBEsol-relaxed geometry (meta-GGA SCAN).

POSCAR file:
```
La2Al2Os
1.0
-1.800 1.800 9.303
1.800 -1.800 9.303
1.800 1.800 -9.303
La Al Os
2 2 1
Direct
0.091 0.091 0.000
0.909 0.909 0.000
0.250 0.750 0.500
0.750 0.250 0.500
0.500 0.500 0.000
```

Space-group type ... I4/mmm
Density of states at the Fermi level ... 2.7 states/eV/cell
Energy of formation ... -0.05 eV/f.u.

***

No. 19
Entry from Alexandria via LeMat-Bulk: ZnCr3Au at its PBEsol-relaxed geometry (meta-GGA SCAN).

POSCAR file:
```
ZnCr3Au
1.0
4.900 0.000 0.000
0.000 4.900 0.000
0.000 0.000 4.900
Zn Cr Au
1 3 1
Direct
0.000 0.000 0.000
0.000 0.500 0.500
0.500 0.000 0.500
0.500 0.500 0.000
0.500 0.500 0.500
```

Space-group type ... Pm-3m
E above lowest polymorph ... 65 meV per atom
Density of states at the Fermi level ... 3.8 states/eV/cell
Energy of formation ... 5.04 eV/f.u.

***

No. 20
Entry from Alexandria via LeMat-Bulk: LiEr2Al at its PBEsol-relaxed geometry (meta-GGA SCAN).

POSCAR file:
```
LiEr2Al
1.0
0.000 3.566 3.566
3.566 0.000 3.566
3.566 3.566 0.000
Li Er Al
1 2 1
Direct
0.000 0.000 0.000
0.250 0.250 0.250
0.750 0.750 0.750
0.500 0.500 0.500
```

Space-group type ... Fm-3m
Density of states at the Fermi level ... 2.9 states/eV/cell
Energy of formation ... -0.85 eV/f.u.

***

No. 21
Entry from Alexandria via LeMat-Bulk: SrRe2Au at its PBEsol-relaxed geometry (meta-GGA SCAN).

POSCAR file:
```
SrRe2Au
1.0
0.000 3.278 3.278
3.278 0.000 3.278
3.278 3.278 0.000
Sr Re Au
1 2 1
Direct
0.000 0.000 0.000
0.250 0.250 0.250
0.750 0.750 0.750
0.500 0.500 0.500
```

Space-group type ... Fm-3m
E above lowest polymorph ... 910 meV per atom
Density of states at the Fermi level ... 4.9 states/eV/cell
Energy of formation ... 6.65 eV/f.u.

***

No. 22
Entry from Alexandria via LeMat-Bulk: Sr2MgAg at its PBEsol-relaxed geometry (meta-GGA SCAN).

POSCAR file:
```
Sr2MgAg
1.0
3.759 -2.154 0.000
3.759 2.154 0.000
-2.458 0.000 9.107
Sr Mg Ag
2 1 1
Direct
0.236 0.236 0.209
0.764 0.764 0.791
0.000 0.000 0.500
0.500 0.500 0.000
```

Space-group type ... C2/m
Density of states at the Fermi level ... 1.9 states/eV/cell
Energy of formation ... -0.04 eV/f.u.

***

No. 23
Entry from Alexandria via LeMat-Bulk: NaIn2Pb2 at its PBEsol-relaxed geometry (meta-GGA SCAN).

POSCAR file:
```
NaIn2Pb2
1.0
8.900 0.000 0.000
0.000 8.900 0.000
0.000 0.000 3.692
Na In Pb
2 4 4
Direct
0.000 0.000 0.000
0.500 0.500 0.000
0.149 0.351 0.500
0.351 0.851 0.500
0.649 0.149 0.500
0.851 0.649 0.500
0.147 0.647 0.000
0.353 0.147 0.000
0.647 0.853 0.000
0.853 0.353 0.000
```

Space-group type ... P4/mbm
E above lowest polymorph ... 63 meV per atom
Density of states at the Fermi level ... 4.4 states/eV/cell
Energy of formation ... -0.29 eV/f.u.

***

No. 24
Entry from Alexandria via LeMat-Bulk: AsSe2BrCl at its PBEsol-relaxed geometry (meta-GGA SCAN).

POSCAR file:
```
AsSe2BrCl
1.0
4.888 0.000 0.000
0.000 4.888 0.000
0.000 0.000 5.040
As Se Br Cl
1 2 1 1
Direct
0.000 0.000 0.000
0.000 0.500 0.500
0.500 0.000 0.500
0.500 0.500 0.000
0.500 0.500 0.500
```

Space-group type ... P4/mmm
Formation energy (no corrections) ... 1.05 eV per atom
Density of states at the Fermi level ... 2.4 states/eV/cell

***

No. 25
Entry from Alexandria via LeMat-Bulk: Hg2SbI at its PBEsol-relaxed geometry (meta-GGA SCAN).

POSCAR file:
```
Hg2SbI
1.0
-3.281 3.281 6.924
3.281 -3.281 6.924
3.281 3.281 -6.924
Hg Sb I
4 2 2
Direct
0.071 0.625 0.946
0.375 0.321 0.446
0.679 0.125 0.054
0.875 0.929 0.554
0.000 0.000 0.000
0.750 0.250 0.500
0.250 0.750 0.500
0.500 0.500 0.000
```

Space-group type ... I-42d
Formation energy (no corrections) ... -0.12 eV per atom
Density of states at the Fermi level ... 1.5 states/eV/cell

***

No. 26
Entry from Alexandria via LeMat-Bulk: TiCd2HgH at its PBEsol-relaxed geometry (meta-GGA SCAN).

POSCAR file:
```
TiCd2HgH
1.0
5.457 0.000 0.000
0.000 5.457 0.000
0.000 0.000 3.370
Ti Cd Hg H
1 2 1 1
Direct
0.000 0.000 0.000
0.000 0.500 0.500
0.500 0.000 0.500
0.500 0.500 0.500
0.500 0.500 0.000
```

Space-group type ... P4/mmm
VASP energy ... -29.2021 eV/atom
Density of states at the Fermi level ... 2.3 states/eV/cell

***

No. 27
Entry from Alexandria via LeMat-Bulk: LaTc3S at its PBEsol-relaxed geometry (meta-GGA SCAN).

POSCAR file:
```
LaTc3S
1.0
4.702 0.000 0.000
0.000 4.702 0.000
0.000 0.000 4.702
La Tc S
1 3 1
Direct
0.000 0.000 0.000
0.000 0.000 0.500
0.000 0.500 0.000
0.500 0.000 0.000
0.500 0.500 0.500
```

Space-group type ... Pm-3m
Formation energy (no corrections) ... 2.45 eV per atom
Density of states at the Fermi level ... 4.7 states/eV/cell

***

No. 28
Entry from Alexandria via LeMat-Bulk: Zr2AlW at its PBEsol-relaxed geometry (meta-GGA SCAN).

POSCAR file:
```
Zr2AlW
1.0
3.412 0.000 0.000
0.000 3.412 0.000
0.000 0.000 6.384
Zr Al W
2 1 1
Direct
0.000 0.000 0.241
0.000 0.000 0.759
0.500 0.500 0.500
0.500 0.500 0.000
```

Space-group type ... P4/mmm
Density of states at the Fermi level ... 2.2 states/eV/cell
Energy of formation ... -0.89 eV/f.u.